# 1
Material: TaFePt3
Method: DFT, PBE
State: optimized geometry

Output
For the formation energy, the calculation gives -51.4 kJ/mol of atoms. The calculation puts the density of states at the Fermi level at 3.05 states/eV/f.u. Its energy above the most stable polymorph in this dataset is 0.0 meV/atom.

```
TaFePt3
1.0
3.928 0.000 0.000
0.000 5.565 0.000
0.000 0.000 13.971
Ta Fe Pt
4 4 12
Direct
0.750 0.869 0.646
0.250 0.131 0.354
0.750 0.369 0.854
0.250 0.631 0.146
0.750 0.390 0.449
0.250 0.110 0.949
0.250 0.610 0.551
0.750 0.890 0.051
0.750 0.878 0.452
0.250 0.121 0.754
0.750 0.377 0.647
0.250 0.622 0.952
0.750 0.877 0.853
0.250 0.621 0.746
0.250 0.623 0.353
0.250 0.122 0.548
0.750 0.378 0.048
0.750 0.379 0.254
0.250 0.123 0.147
0.750 0.879 0.246
```


# 2
Material: TaFePt
Method: DFT, PBE
State: optimized geometry

Output
For the formation energy, the calculation gives -32.7 kJ/mol of atoms. The calculation puts the density of states at the Fermi level at 3.45 states/eV/f.u. Its energy above the most stable polymorph in this dataset is 0.0 meV/atom.

```
TaFePt
1.0
-0.108 -4.218 -2.383
1.639 -4.144 1.905
-2.869 3.746 1.103
Pt Fe Ta
1 1 1
Direct
0.334 0.334 0.000
0.007 0.007 0.000
0.659 0.659 0.000
```


# 3
Material: TaFe2Pt
Method: DFT, PBE
State: optimized geometry

Output
For the formation energy, the calculation gives -4.4 kJ/mol of atoms. The calculation puts the density of states at the Fermi level at 3.54 states/eV/f.u. Its energy above the most stable polymorph in this dataset is 281.1 meV/atom.

```
TaFe2Pt
1.0
2.707 0.000 0.000
0.000 2.707 0.000
0.000 0.000 7.937
Pt Ta Fe
1 1 2
Direct
0.500 0.500 0.250
0.500 0.500 0.750
0.000 0.000 0.013
0.000 0.000 0.487
```


# 4
Material: TaFePt
Method: DFT, PBE
State: optimized geometry

Output
For the formation energy, the calculation gives 8.0 kJ/mol of atoms. The calculation puts the density of states at the Fermi level at 3.77 states/eV/f.u. Its energy above the most stable polymorph in this dataset is 421.8 meV/atom.

```
TaFePt
1.0
4.144 0.000 0.000
2.072 3.589 0.000
2.072 1.196 3.383
Pt Fe Ta
1 1 1
Direct
0.000 0.000 0.000
0.750 0.750 0.750
0.500 0.500 0.500
```


# 5
Material: TaFe2Pt
Method: DFT, PBE
State: optimized geometry

Output
For the formation energy, the calculation gives 0.5 kJ/mol of atoms. The calculation puts the density of states at the Fermi level at 3.37 states/eV/f.u. Its energy above the most stable polymorph in this dataset is 331.2 meV/atom.

```
TaFe2Pt
1.0
8.692 -0.070 -0.041
8.258 2.714 -0.041
8.258 1.288 2.389
Fe Pt Ta
2 1 1
Direct
0.993 0.993 0.993
0.256 0.256 0.256
0.504 0.504 0.504
0.747 0.747 0.747
```


# 6
Material: TaFePt14
Method: DFT, PBE
State: optimized geometry

Output
For the formation energy, the calculation gives -26.1 kJ/mol of atoms. The calculation puts the density of states at the Fermi level at 20.73 states/eV/f.u.

```
TaFePt14
1.0
5.632 -0.012 0.000
0.012 5.632 0.000
0.000 0.000 7.863
Fe Pt Ta
1 14 1
Direct
0.375 0.375 0.500
0.624 0.126 0.258
0.875 0.375 0.000
0.126 0.624 0.742
0.624 0.624 0.742
0.126 0.126 0.258
0.875 0.375 0.500
0.375 0.875 0.500
0.624 0.624 0.258
0.875 0.875 0.000
0.126 0.126 0.742
0.375 0.375 0.000
0.624 0.126 0.742
0.375 0.875 0.000
0.126 0.624 0.258
0.875 0.875 0.500
```


Energy (computed, eV for the cell shown): -164.4, -27.4, -35.0, -26.1, -34.8, -109.2